Entry 1:
A geometry-optimized Cs2DyGeSe4 structure. Source: Alexandria via LeMat-Bulk, functional PBE-GGA.

Unit cell a=6.735 b=15.107 c=26.527 alpha=90.00 beta=90.00 gamma=90.00
Space group Fddd (No. 70, origin choice 2)
Unique sites:
Cs1 0.125 0.125 0.305
Dy1 0.125 0.125 0.125
Ge1 0.125 0.125 0.625
Se1 0.108 0.277 0.823

V = 2698.9 Å³ per cell
E_form (uncorrected) = -1.07 eV per atom
D(E_F) = 39.647 states/eV per cell
raw total energy = -4.18 eV/atom


Entry 2:
A geometry-optimized CsDyGeTe3 structure. Source: Alexandria via LeMat-Bulk, functional PBE-GGA.

Unit cell a=9.833 b=4.335 c=12.305 alpha=90.00 beta=113.25 gamma=90.00
Space group P2_1/m (No. 11)
Unique sites:
Cs1 0.234 0.250 0.280
Dy1 0.367 0.750 0.843
Ge1 0.117 0.250 0.556
Te1 0.120 0.250 0.776
Te2 0.318 0.750 0.577
Te3 0.394 0.750 0.100

V = 482.0 Å³ per cell
E_form (uncorrected) = -0.96 eV per atom
raw total energy = -4.21 eV/atom


Entry 3:
A geometry-optimized CsDyH structure. Source: Alexandria via LeMat-Bulk, functional PBE-GGA.

Unit cell a=14.680 b=3.724 c=6.454 alpha=90.00 beta=90.00 gamma=90.00
Space group Amm2 (No. 38)
Unique sites:
Cs1 0.136 0.000 0.000
Dy1 0.396 0.000 0.321
H1 0.000 0.000 0.333
H2 0.500 0.000 0.987

V = 352.8 Å³ per cell
D(E_F) = 7.053 states/eV per cell
raw total energy = -2.70 eV/atom


What is the raw total energy in the third record?
-2.70 eV/atom